one) BaMoH2 | Alexandria | PBE | relaxed; mass density = 6.371 Mg/m³; V = 122.7 Å³ per cell
1.0
-2.8227 2.8227 3.8485
2.8227 -2.8227 3.8485
2.8227 2.8227 -3.8485
Ba Mo H
2 2 4
direct
0.0000 0.0000 0.0000
0.7500 0.2500 0.5000
0.2500 0.7500 0.5000
0.5000 0.5000 0.0000
0.2394 0.6250 0.1144
0.3750 0.4894 0.6144
0.5106 0.1250 0.8856
0.8750 0.7606 0.3856

two) BaMoH2 | Alexandria | PBE | relaxed; mass density = 5.137 Mg/m³; V = 76.1 Å³ per cell
1.0
0.0000 3.3627 3.3627
3.3627 0.0000 3.3627
3.3627 3.3627 0.0000
Ba Mo H
1 1 2
direct
0.0000 0.0000 0.0000
0.5000 0.5000 0.5000
0.2500 0.2500 0.2500
0.7500 0.7500 0.7500

Of them, one) has the highest stability.

one) BaMo3H | Alexandria | PBE | relaxed; mass density = 8.542 Mg/m³; V = 82.8 Å³ per cell
1.0
4.3593 0.0000 0.0000
0.0000 4.3593 0.0000
0.0000 0.0000 4.3593
Ba Mo H
1 3 1
direct
0.0000 0.0000 0.0000
0.0000 0.5000 0.5000
0.5000 0.0000 0.5000
0.5000 0.5000 0.0000
0.5000 0.5000 0.5000

two) BaMo3H | Alexandria | PBE | relaxed; mass density = 5.647 Mg/m³; V = 125.3 Å³ per cell
1.0
5.0042 0.0000 0.0000
0.0000 5.0042 0.0000
0.0000 0.0000 5.0042
Ba Mo H
1 3 1
direct
0.0000 0.0000 0.0000
0.0000 0.0000 0.5000
0.0000 0.5000 0.0000
0.5000 0.0000 0.0000
0.5000 0.5000 0.5000

Of them, one) has the highest stability.

one) BaMo2H2 | Alexandria | PBE | relaxed; mass density = 6.098 Mg/m³; V = 180.4 Å³ per cell
1.0
7.7992 0.0000 0.0000
0.0000 7.7992 0.0000
0.0000 0.0000 2.9657
Ba Mo H
2 4 4
direct
0.0000 0.0000 0.0000
0.5000 0.5000 0.0000
0.1001 0.3999 0.0000
0.3999 0.8999 0.0000
0.6001 0.1001 0.0000
0.8999 0.6001 0.0000
0.0948 0.5948 0.5000
0.4052 0.0948 0.5000
0.5948 0.9052 0.5000
0.9052 0.4052 0.5000

two) BaMo2H2 | Alexandria | PBE | relaxed; mass density = 7.025 Mg/m³; V = 78.3 Å³ per cell
1.0
-2.1854 2.1854 4.0984
2.1854 -2.1854 4.0984
2.1854 2.1854 -4.0984
Ba Mo H
1 2 2
direct
0.0000 0.0000 0.0000
0.3643 0.3643 0.0000
0.6357 0.6357 0.0000
0.2500 0.7500 0.5000
0.7500 0.2500 0.5000

Of them, two) has the highest stability.

one) BaMo2H | Alexandria | PBE | relaxed; mass density = 7.310 Mg/m³; V = 150.0 Å³ per cell
1.0
-2.9844 2.9844 4.2109
2.9844 -2.9844 4.2109
2.9844 2.9844 -4.2109
Ba Mo H
2 4 2
direct
0.3750 0.6250 0.7500
0.6250 0.3750 0.2500
0.0000 0.0000 0.0000
0.0000 0.0000 0.5000
0.0000 0.5000 0.0000
0.5000 0.0000 0.5000
0.1250 0.8750 0.2500
0.8750 0.1250 0.7500

two) BaMo2H | Alexandria | PBE | relaxed; mass density = 7.945 Mg/m³; V = 69.0 Å³ per cell
1.0
0.0000 3.2557 3.2557
3.2557 0.0000 3.2557
3.2557 3.2557 0.0000
Ba Mo H
1 2 1
direct
0.0000 0.0000 0.0000
0.2500 0.2500 0.2500
0.7500 0.7500 0.7500
0.5000 0.5000 0.5000

Of them, one) has the highest stability.

one) BaH4N2 | Alexandria | PBE | relaxed; mass density = 2.764 Mg/m³; V = 203.5 Å³ per cell
1.0
6.3631 0.0000 0.0000
0.0000 6.3631 0.0000
0.0000 0.0000 5.0259
Ba H N
2 8 4
direct
0.0000 0.0000 0.0000
0.5000 0.5000 0.5000
0.0377 0.2216 0.5000
0.2216 0.0377 0.5000
0.2784 0.5377 0.0000
0.4623 0.7216 0.0000
0.5377 0.2784 0.0000
0.7216 0.4623 0.0000
0.7784 0.9623 0.5000
0.9623 0.7784 0.5000
0.1977 0.1977 0.5000
0.3023 0.6977 0.0000
0.6977 0.3023 0.0000
0.8023 0.8023 0.5000

two) BaH4N2 | Alexandria | PBE | relaxed; mass density = 2.460 Mg/m³; V = 228.6 Å³ per cell
1.0
7.2888 0.0000 0.0000
0.0000 7.2888 0.0000
0.0000 0.0000 4.3034
Ba H N
2 8 4
direct
0.0000 0.0000 0.0000
0.5000 0.5000 0.5000
0.1551 0.3158 0.5000
0.1842 0.6551 0.0000
0.3158 0.1551 0.5000
0.3449 0.8158 0.0000
0.6551 0.1842 0.0000
0.6842 0.8449 0.5000
0.8158 0.3449 0.0000
0.8449 0.6842 0.5000
0.1764 0.1764 0.5000
0.3236 0.6764 0.0000
0.6764 0.3236 0.0000
0.8236 0.8236 0.5000

Of them, one) has the highest stability.

one) BaH2N2 | Alexandria | PBE | relaxed; mass density = 3.310 Mg/m³; V = 167.9 Å³ per cell
1.0
6.6328 0.0000 0.0000
0.0000 6.6328 0.0000
0.0000 0.0000 3.8168
Ba H N
2 4 4
direct
0.0000 0.0000 0.0000
0.5000 0.5000 0.0000
0.2424 0.2576 0.5000
0.2576 0.7576 0.5000
0.7424 0.2424 0.5000
0.7576 0.7424 0.5000
0.0595 0.5595 0.0000
0.4405 0.0595 0.0000
0.5595 0.9405 0.0000
0.9405 0.4405 0.0000

two) BaH2N2 | Alexandria | PBE | relaxed; mass density = 3.548 Mg/m³; V = 78.3 Å³ per cell
1.0
-2.4038 2.4038 3.3885
2.4038 -2.4038 3.3885
2.4038 2.4038 -3.3885
Ba H N
1 2 2
direct
0.0000 0.0000 0.0000
0.2500 0.7500 0.5000
0.7500 0.2500 0.5000
0.4168 0.4168 0.0000
0.5832 0.5832 0.0000

Of them, two) has the highest stability.